1.
Here is a relaxed structure of EuTl4Pb from Alexandria. Energies are from PBE.

abc: 6.459 6.459 6.459
angles: 60.00 60.00 60.00
Sites, in units of the cell vectors:
Tl 0.625 0.625 0.124
Tl 0.124 0.625 0.625
Tl 0.625 0.625 0.625
Tl 0.625 0.124 0.625
Pb 0.000 0.000 0.000
Eu 0.250 0.250 0.250

Calculated total energy, eV per formula unit: -23.98

---

2.
Here is a relaxed structure of Tb9HoTh2 from Alexandria. Energies are from PBE.

abc: 5.037 5.037 15.067
angles: 90.00 90.00 90.00
Sites, in units of the cell vectors:
Tb 0.500 0.000 0.500
Tb 0.000 0.500 0.832
Tb 0.000 0.500 0.168
Tb 0.500 0.500 0.667
Tb 0.500 0.000 0.832
Tb 0.500 0.500 0.333
Tb 0.500 0.000 0.168
Tb 0.000 0.500 0.500
Tb 0.500 0.500 0.000
Ho 0.000 0.000 0.000
Th 0.000 0.000 0.666
Th 0.000 0.000 0.334

Calculated total energy, eV per formula unit: -60.69

---

3.
Here is a relaxed structure of TbSm2Zn from Alexandria. Energies are from PBE.

abc: 3.641 3.641 10.625
angles: 80.14 80.14 60.01
Sites, in units of the cell vectors:
Tb 0.500 0.500 0.500
Zn 0.666 0.666 0.001
Sm 0.261 0.261 0.218
Sm 0.073 0.073 0.782

E above lowest polymorph, meV per atom: 115

---

4.
Here is a relaxed structure of BeZn2PbAu5 from Alexandria. Energies are from PBE.

abc: 4.554 5.703 7.764
angles: 111.55 107.05 90.00
Sites, in units of the cell vectors:
Au 0.642 0.393 0.284
Au 0.642 0.890 0.284
Au 0.358 0.607 0.716
Au 0.000 0.000 0.000
Au 0.358 0.110 0.716
Zn 0.195 0.195 0.391
Zn 0.805 0.805 0.609
Be 0.500 0.000 0.000
Pb 0.000 0.500 0.000

Calculated total energy, eV per formula unit: -26.76

---

5.
Here is a relaxed structure of YNiAu from Alexandria. Energies are from PBE.

abc: 4.460 4.460 4.460
angles: 60.00 60.00 60.00
Sites, in units of the cell vectors:
Au 0.500 0.500 0.500
Ni 0.750 0.750 0.750
Y 0.000 0.000 0.000

Calculated total energy, eV per formula unit: -16.89

---

6.
Here is a relaxed structure of Y3HoSc2Te6 from Alexandria. Energies are from PBE.

abc: 4.284 8.621 9.607
angles: 103.01 102.88 90.00
Sites, in units of the cell vectors:
Te 0.332 0.907 0.663
Te 0.671 0.575 0.341
Te 0.329 0.425 0.659
Te 0.006 0.251 0.011
Te 0.668 0.093 0.337
Te 0.994 0.749 0.989
Sc 0.834 0.667 0.668
Sc 0.166 0.333 0.332
Ho 0.500 0.000 0.000
Y 0.838 0.170 0.676
Y 0.500 0.500 0.000
Y 0.162 0.830 0.324

Calculated total energy, eV per formula unit: -70.19

---

7.
Here is a relaxed structure of LaCoHg2 from Alexandria. Energies are from PBE.

abc: 3.417 3.417 7.786
angles: 90.00 90.00 89.97
Sites, in units of the cell vectors:
La 0.000 0.000 0.548
Hg 0.000 0.000 0.956
Hg 0.500 0.500 0.227
Co 0.500 0.500 0.768

Calculated total energy, eV per formula unit: -12.61

---

8.
Here is a relaxed structure of PmSi4Pd6 from Alexandria. Energies are from PBE.

abc: 3.941 7.141 7.141
angles: 120.00 90.00 90.00
Sites, in units of the cell vectors:
Pd 0.500 0.199 0.398
Pd 0.500 0.602 0.801
Pd 0.500 0.199 0.801
Pd 0.000 0.932 0.466
Pd 0.000 0.534 0.466
Pd 0.000 0.534 0.068
Si 0.500 0.805 0.195
Si 0.000 0.333 0.667
Si 0.500 0.805 0.609
Si 0.500 0.391 0.195
Pm 0.000 0.000 0.000

Calculated total energy, eV per formula unit: -66.32